Here is a relaxed structure of KTaCu2N from the Alexandria database. Energies are from PBE.

- space group = No. 123
- uncorrected formation energy (eV/atom) = 1.5242

Unit cell a=4.0107 b=4.0107 c=4.9137 alpha=90.00 beta=90.00 gamma=90.00
Element x y z (fractional)
K (0.0000, 0.0000, 0.0000)
Ta (0.5000, 0.5000, 0.0000)
Cu (0.0000, 0.5000, 0.5000)
Cu (0.5000, 0.0000, 0.5000)
N (0.0000, 0.0000, 0.5000)


Here is a relaxed structure of PmP2Rh from the Alexandria database. Energies are from PBE.

- E_form (eV per formula unit) = -4.2
- E above lowest polymorph (eV/f.u.) = 0.00
- space group = No. 22

Unit cell a=5.6034 b=5.6013 c=3.9596 alpha=69.33 beta=69.28 gamma=41.39
Element x y z (fractional)
Pm (0.0000, 0.0000, 0.0000)
P (0.3809, 0.3809, 0.6191)
P (0.6191, 0.6191, 0.3809)
Rh (0.2500, 0.2500, 0.2500)


Here is a relaxed structure of Bi4Pd2I from the Alexandria database. Energies are from PBE.

- space group = No. 141
- uncorrected formation energy (eV/atom) = -0.2221

Unit cell a=8.9780 b=8.9780 c=8.9780 alpha=119.86 beta=119.86 gamma=90.24
Element x y z (fractional)
Bi (0.2819, 0.3468, 0.5649)
Bi (0.2819, 0.7170, 0.9351)
Bi (0.2830, 0.7181, 0.5649)
Bi (0.3468, 0.2819, 0.0649)
Bi (0.6532, 0.7181, 0.9351)
Bi (0.7170, 0.2819, 0.4351)
Bi (0.7181, 0.2830, 0.0649)
Bi (0.7181, 0.6532, 0.4351)
Pd (0.0000, 0.5000, 0.5000)
Pd (0.5000, 0.0000, 0.0000)
Pd (0.5000, 0.5000, 0.0000)
Pd (0.5000, 0.5000, 0.5000)
I (0.1250, 0.8750, 0.2500)
I (0.8750, 0.1250, 0.7500)


Here is a relaxed structure of KDyGa4 from the Alexandria database. Energies are from PBE.

- E_form (eV per formula unit) = -1.3
- space group = No. 216

Unit cell a=5.6628 b=5.6628 c=5.6628 alpha=60.00 beta=60.00 gamma=60.00
Element x y z (fractional)
K (0.0000, 0.0000, 0.0000)
Dy (0.2500, 0.2500, 0.2500)
Ga (0.1265, 0.6245, 0.6245)
Ga (0.6245, 0.1265, 0.6245)
Ga (0.6245, 0.6245, 0.1265)
Ga (0.6245, 0.6245, 0.6245)


Here is a relaxed structure of ZrCr from the Alexandria database. Energies are from PBE.

- E_form (eV per formula unit) = 1.0
- space group = No. 166

Unit cell a=4.7305 b=4.7305 c=4.7305 alpha=38.56 beta=38.56 gamma=38.56
Element x y z (fractional)
Zr (0.0000, 0.0000, 0.0000)
Cr (0.5000, 0.5000, 0.5000)


Here is a relaxed structure of ThAl2GaPd4 from the Alexandria database. Energies are from PBE.

- E_form (eV per formula unit) = -6.2
- space group = No. 166

Unit cell a=9.0877 b=9.0877 c=9.0877 alpha=27.51 beta=27.51 gamma=27.51
Element x y z (fractional)
Th (0.0000, 0.0000, 0.0000)
Al (0.2391, 0.2391, 0.2391)
Al (0.7609, 0.7609, 0.7609)
Ga (0.5000, 0.5000, 0.5000)
Pd (0.1335, 0.1335, 0.1335)
Pd (0.4018, 0.4018, 0.4018)
Pd (0.5982, 0.5982, 0.5982)
Pd (0.8665, 0.8665, 0.8665)


Here is a relaxed structure of Tl4C3 from the Alexandria database. Energies are from PBE.

- E_form (eV per formula unit) = 13.0
- E above lowest polymorph (eV/f.u.) = 1.01
- space group = No. 139

Unit cell a=11.0636 b=11.0636 c=11.0636 alpha=161.86 beta=161.86 gamma=25.76
Element x y z (fractional)
Tl (0.0669, 0.0669, 0.0000)
Tl (0.3108, 0.3108, 0.0000)
Tl (0.6892, 0.6892, 0.0000)
Tl (0.9331, 0.9331, 0.0000)
C (0.1778, 0.1778, 0.0000)
C (0.5000, 0.5000, 0.0000)
C (0.8222, 0.8222, 0.0000)


Here is a relaxed structure of La2SnCl from the Alexandria database. Energies are from PBE.

- E above lowest polymorph (eV/f.u.) = 0.52
- space group = No. 123
- uncorrected formation energy (eV/atom) = -1.0828

Unit cell a=3.6165 b=3.6165 c=8.4197 alpha=90.00 beta=90.00 gamma=90.00
Element x y z (fractional)
La (0.0000, 0.0000, 0.2440)
La (0.0000, 0.0000, 0.7560)
Sn (0.5000, 0.5000, 0.5000)
Cl (0.5000, 0.5000, 0.0000)


What did we get for mass density? Answer: 7587; 6763; 7614; 6214; 6435; 9182; 10803; 6514 kg/m³, in the order shown.